(one)
# MnZn2Fe (meta-GGA SCAN, PBEsol geometry)
data_MnZn2Fe
_chemical_formula_sum 'Mn1 Zn2 Fe1'
_space_group_name_H-M_alt 'P 1 m 1'
_space_group_IT_number 6
_cell_length_a 2.627
_cell_length_b 4.188
_cell_length_c 4.460
_cell_angle_alpha 90.00
_cell_angle_beta 90.08
_cell_angle_gamma 90.00
loop_
_space_group_symop_operation_xyz
'x,y,z'
'x,-y,z'
loop_
_atom_site_label
_atom_site_fract_x
_atom_site_fract_y
_atom_site_fract_z
Mn1 0.000 0.000 0.000
Zn1 0.501 0.000 0.509
Zn2 0.502 0.500 0.172
Fe1 0.003 0.500 0.680
# DOS at the Fermi energy = 0.52 states/eV per atom
# M_tot = 1.40 μB/atom

(two)
# MnZn2Fe (meta-GGA SCAN, PBEsol geometry)
data_MnZn2Fe
_chemical_formula_sum 'Mn1 Zn2 Fe1'
_space_group_name_H-M_alt 'P 4/m m m'
_space_group_IT_number 123
_space_group_name_Hall '-P 4 2'
_cell_length_a 2.602
_cell_length_b 2.602
_cell_length_c 7.275
_cell_angle_alpha 90.00
_cell_angle_beta 90.00
_cell_angle_gamma 90.00
loop_
_atom_site_label
_atom_site_fract_x
_atom_site_fract_y
_atom_site_fract_z
Mn1 0.000 0.000 0.000
Zn1 0.500 0.500 0.253
Fe1 0.000 0.000 0.500
# DOS at the Fermi energy = 0.60 states/eV per atom
# M_tot = 1.41 μB/atom

The most stable arrangement is (two), and the next structure is 0.015 eV/atom less stable.

(one)
# CuAu2Cl (meta-GGA SCAN, PBEsol geometry)
data_CuAu2Cl
_chemical_formula_sum 'Cu2 Au4 Cl2'
_space_group_name_H-M_alt 'I m m 2'
_space_group_IT_number 44
_cell_length_a 2.862
_cell_length_b 5.875
_cell_length_c 8.530
_cell_angle_alpha 90.00
_cell_angle_beta 90.00
_cell_angle_gamma 90.00
loop_
_space_group_symop_operation_xyz
'x,y,z'
'-x,-y,z'
'-x,y,z'
'x,-y,z'
'x+1/2,y+1/2,z+1/2'
'-x+1/2,-y+1/2,z+1/2'
'-x+1/2,y+1/2,z+1/2'
'x+1/2,-y+1/2,z+1/2'
loop_
_atom_site_label
_atom_site_fract_x
_atom_site_fract_y
_atom_site_fract_z
Cu1 0.000 0.000 0.000
Au1 0.000 0.000 0.485
Au2 0.000 0.500 0.258
Cl1 0.000 0.500 0.705
# DOS at the Fermi energy = 0.45 states/eV per atom
# M_tot = 0.00 μB/atom

(two)
# CuAu2Cl (meta-GGA SCAN, PBEsol geometry)
data_CuAu2Cl
_chemical_formula_sum 'Cu1 Au2 Cl1'
_space_group_name_H-M_alt 'P 4/m m m'
_space_group_IT_number 123
_space_group_name_Hall '-P 4 2'
_cell_length_a 3.783
_cell_length_b 3.783
_cell_length_c 4.731
_cell_angle_alpha 90.00
_cell_angle_beta 90.00
_cell_angle_gamma 90.00
loop_
_atom_site_label
_atom_site_fract_x
_atom_site_fract_y
_atom_site_fract_z
Cu1 0.000 0.000 0.000
Au1 0.000 0.500 0.500
Cl1 0.500 0.500 0.000
# DOS at the Fermi energy = 0.31 states/eV per atom
# M_tot = 0.00 μB/atom

The most stable arrangement is (one), and the next structure is 0.083 eV/atom less stable.

(one)
# SrLaSe2 (meta-GGA SCAN, PBEsol geometry)
data_SrLaSe2
_chemical_formula_sum 'Sr3 La3 Se6'
_space_group_name_H-M_alt 'R -3 m'
_space_group_IT_number 166
_space_group_name_Hall '-R 3 2"'
_cell_length_a 4.2832
_cell_length_b 4.2832
_cell_length_c 21.3174
_cell_angle_alpha 90.00
_cell_angle_beta 90.00
_cell_angle_gamma 120.00
loop_
_atom_site_label
_atom_site_fract_x
_atom_site_fract_y
_atom_site_fract_z
Sr1 0.0000 0.0000 0.0000
La1 0.0000 0.0000 0.5000
Se1 0.0000 0.0000 0.2485
# DOS at the Fermi energy = 0.38 states/eV per atom
# M_tot = 0.00 μB/atom

(two)
# SrLaSe2 (meta-GGA SCAN, PBEsol geometry)
data_SrLaSe2
_chemical_formula_sum 'Sr1 La1 Se2'
_space_group_name_H-M_alt 'P 4/m m m'
_space_group_IT_number 123
_space_group_name_Hall '-P 4 2'
_cell_length_a 4.299
_cell_length_b 4.299
_cell_length_c 6.085
_cell_angle_alpha 90.00
_cell_angle_beta 90.00
_cell_angle_gamma 90.00
loop_
_atom_site_label
_atom_site_fract_x
_atom_site_fract_y
_atom_site_fract_z
Sr1 0.000 0.000 0.000
La1 0.500 0.500 0.500
Se1 0.000 0.000 0.500
Se2 0.500 0.500 0.000
# DOS at the Fermi energy = 0.31 states/eV per atom
# M_tot = 0.00 μB/atom

The most stable arrangement is (two), and the next structure is 0.009 eV/atom less stable.

(one)
# Ag2PtAu (meta-GGA SCAN, PBEsol geometry)
data_Ag2PtAu
_chemical_formula_sum 'Ag8 Pt4 Au4'
_space_group_name_H-M_alt 'F -4 3 m'
_space_group_IT_number 216
_space_group_name_Hall 'F -4 2 3'
_cell_length_a 6.379
_cell_length_b 6.379
_cell_length_c 6.379
_cell_angle_alpha 90.00
_cell_angle_beta 90.00
_cell_angle_gamma 90.00
loop_
_atom_site_label
_atom_site_fract_x
_atom_site_fract_y
_atom_site_fract_z
Ag1 0.000 0.000 0.000
Ag2 0.250 0.250 0.250
Pt1 0.000 0.000 0.500
Au1 0.250 0.250 0.750
# DOS at the Fermi energy = 0.28 states/eV per atom
# M_tot = 0.00 μB/atom

(two)
# Ag2PtAu (meta-GGA SCAN, PBEsol geometry)
data_Ag2PtAu
_chemical_formula_sum 'Ag4 Pt2 Au2'
_space_group_name_H-M_alt 'I -4 m 2'
_space_group_IT_number 119
_space_group_name_Hall 'I -4 -2'
_cell_length_a 4.062
_cell_length_b 4.062
_cell_length_c 7.817
_cell_angle_alpha 90.00
_cell_angle_beta 90.00
_cell_angle_gamma 90.00
loop_
_atom_site_label
_atom_site_fract_x
_atom_site_fract_y
_atom_site_fract_z
Ag1 0.000 0.000 0.000
Ag2 0.000 0.500 0.250
Pt1 0.000 0.500 0.750
Au1 0.000 0.000 0.500
# DOS at the Fermi energy = 0.30 states/eV per atom
# M_tot = 0.00 μB/atom

The most stable arrangement is (two), and the next structure is 0.026 eV/atom less stable.

(one)
# ZnWBr2 (meta-GGA SCAN, PBEsol geometry)
data_ZnWBr2
_chemical_formula_sum 'Zn2 W2 Br4'
_space_group_name_H-M_alt 'I m m m'
_space_group_IT_number 71
_space_group_name_Hall '-I 2 2'
_cell_length_a 3.059
_cell_length_b 4.508
_cell_length_c 13.433
_cell_angle_alpha 90.00
_cell_angle_beta 90.00
_cell_angle_gamma 90.00
loop_
_atom_site_label
_atom_site_fract_x
_atom_site_fract_y
_atom_site_fract_z
Zn1 0.000 0.000 0.000
W1 0.000 0.000 0.500
Br1 0.000 0.500 0.154
# DOS at the Fermi energy = 0.39 states/eV per atom
# M_tot = 0.29 μB/atom

(two)
# ZnWBr2 (meta-GGA SCAN, PBEsol geometry)
data_ZnWBr2
_chemical_formula_sum 'Zn1 W1 Br2'
_space_group_name_H-M_alt 'P 4/m m m'
_space_group_IT_number 123
_space_group_name_Hall '-P 4 2'
_cell_length_a 3.088
_cell_length_b 3.088
_cell_length_c 8.565
_cell_angle_alpha 90.00
_cell_angle_beta 90.00
_cell_angle_gamma 90.00
loop_
_atom_site_label
_atom_site_fract_x
_atom_site_fract_y
_atom_site_fract_z
Zn1 0.000 0.000 0.000
W1 0.000 0.000 0.500
Br1 0.500 0.500 0.314
# DOS at the Fermi energy = 0.65 states/eV per atom
# M_tot = 0.00 μB/atom

The most stable arrangement is (one), and the next structure is 0.575 eV/atom less stable.

(one)
# Cr2TcMo (meta-GGA SCAN, PBEsol geometry)
data_Cr2TcMo
_chemical_formula_sum 'Cr4 Tc2 Mo2'
_space_group_name_H-M_alt 'C 1 2/m 1'
_space_group_IT_number 12
_cell_length_a 5.176
_cell_length_b 8.251
_cell_length_c 2.596
_cell_angle_alpha 90.00
_cell_angle_beta 109.75
_cell_angle_gamma 90.00
loop_
_space_group_symop_operation_xyz
'x,y,z'
'-x,-y,-z'
'-x,y,-z'
'x,-y,z'
'x+1/2,y+1/2,z'
'-x+1/2,-y+1/2,-z'
'-x+1/2,y+1/2,-z'
'x+1/2,-y+1/2,z'
loop_
_atom_site_label
_atom_site_fract_x
_atom_site_fract_y
_atom_site_fract_z
Cr1 0.250 0.250 0.000
Tc1 0.000 0.000 0.500
Mo1 0.000 0.500 0.500
# DOS at the Fermi energy = 0.88 states/eV per atom
# M_tot = 0.00 μB/atom

(two)
# Cr2TcMo (meta-GGA SCAN, PBEsol geometry)
data_Cr2TcMo
_chemical_formula_sum 'Cr8 Tc4 Mo4'
_space_group_name_H-M_alt 'F -4 3 m'
_space_group_IT_number 216
_space_group_name_Hall 'F -4 2 3'
_cell_length_a 5.928
_cell_length_b 5.928
_cell_length_c 5.928
_cell_angle_alpha 90.00
_cell_angle_beta 90.00
_cell_angle_gamma 90.00
loop_
_atom_site_label
_atom_site_fract_x
_atom_site_fract_y
_atom_site_fract_z
Cr1 0.000 0.000 0.000
Cr2 0.250 0.250 0.250
Tc1 0.000 0.000 0.500
Mo1 0.250 0.250 0.750
# DOS at the Fermi energy = 0.58 states/eV per atom
# M_tot = 0.11 μB/atom

The most stable arrangement is (two), and the next structure is 0.104 eV/atom less stable.

(one)
# Ca2CoAg (meta-GGA SCAN, PBEsol geometry)
data_Ca2CoAg
_chemical_formula_sum 'Ca2 Co1 Ag1'
_space_group_name_H-M_alt 'P 4/m m m'
_space_group_IT_number 123
_space_group_name_Hall '-P 4 2'
_cell_length_a 3.371
_cell_length_b 3.371
_cell_length_c 7.335
_cell_angle_alpha 90.00
_cell_angle_beta 90.00
_cell_angle_gamma 90.00
loop_
_atom_site_label
_atom_site_fract_x
_atom_site_fract_y
_atom_site_fract_z
Ca1 0.000 0.000 0.221
Co1 0.500 0.500 0.000
Ag1 0.500 0.500 0.500
# DOS at the Fermi energy = 0.89 states/eV per atom
# M_tot = 0.19 μB/atom

(two)
# Ca2CoAg (meta-GGA SCAN, PBEsol geometry)
data_Ca2CoAg
_chemical_formula_sum 'Ca4 Co2 Ag2'
_space_group_name_H-M_alt 'C 1 2/m 1'
_space_group_IT_number 12
_cell_length_a 7.265
_cell_length_b 3.117
_cell_length_c 7.940
_cell_angle_alpha 90.00
_cell_angle_beta 97.46
_cell_angle_gamma 90.00
loop_
_space_group_symop_operation_xyz
'x,y,z'
'-x,-y,-z'
'-x,y,-z'
'x,-y,z'
'x+1/2,y+1/2,z'
'-x+1/2,-y+1/2,-z'
'-x+1/2,y+1/2,-z'
'x+1/2,-y+1/2,z'
loop_
_atom_site_label
_atom_site_fract_x
_atom_site_fract_y
_atom_site_fract_z
Ca1 0.242 0.000 0.218
Co1 0.000 0.500 0.000
Ag1 0.000 0.000 0.500
# DOS at the Fermi energy = 0.55 states/eV per atom
# M_tot = 0.24 μB/atom

The most stable arrangement is (one), and the next structure is 0.257 eV/atom less stable.